Crystalline Li4NiAu5 at its relaxed geometry. Source: the Alexandria database, functional PBE-GGA.

ρ	11.74	g cm⁻³
density of states at the Fermi level	3.0	states/eV/cell
size of the total moment	0.0	μB/f.u.
space group	P4/mmm
crystal system	tetragonal
energy of formation from the pure elements	-0.401	eV per atom
calculated volume	151	Å³/f.u.

Lattice parameters (Å, degrees): 3.1158 3.1157 15.6025 90.00 90.00 90.00
Fractional coordinates of all 10 atoms:
1 Au 0.5000 0.5000 0.9024
2 Au 0.5000 0.5000 0.7018
3 Au 0.5000 0.5000 0.5000
4 Au 0.5000 0.5000 0.2982
5 Au 0.5000 0.5000 0.0976
6 Li 0.0000 0.0000 0.1973
7 Li 0.0000 0.0000 0.3990
8 Li 0.0000 0.0000 0.6010
9 Li 0.0000 0.0000 0.8027
10 Ni 0.0000 0.0000 0.0000



Crystalline ZrClO at its relaxed geometry. Source: the Alexandria database, functional PBE-GGA.

ρ	3.73	g cm⁻³
density of states at the Fermi level	4.1	states/eV/cell
size of the total moment	0.0	μB/f.u.
formation energy (no corrections)	-2.242	eV per atom
space group	Cmc2_1
crystal system	orthorhombic
calculated volume	63	Å³/f.u.

Lattice parameters (Å, degrees): 3.3725 5.6068 6.9200 90.01 104.10 90.00
Fractional coordinates of all 6 atoms:
1 Zr 0.9927 0.3056 0.9855
2 Zr 0.5048 0.8056 0.0096
3 Cl 0.6387 0.4482 0.2774
4 Cl 0.8588 0.9480 0.7177
5 O 0.0709 0.9542 0.1418
6 O 0.4266 0.4542 0.8532